w) Sm2SeCl: relaxed, PBE.

The calculation puts the density of states at the Fermi level at 3.48 states/eV per cell. As for the space-group type: R3m (160). The calculation puts the volume at 25.3 Å³/atom.

Cell: 3.8829 3.8829 8.0572 Å, 76.06 76.06 60.00°
Fractional positions:
Sm 0.0776 0.0776 0.7671
Sm 0.2561 0.2561 0.2318
Se 0.6659 0.6659 0.0024
Cl 0.5004 0.5004 0.4987

x) Sm2SeCl: relaxed, PBE.

The calculation puts the density of states at the Fermi level at 2.10 states/eV per cell. As for the space-group type: R-3m (166). The calculation puts the volume at 24.7 Å³/atom.

Cell: 4.2147 4.2147 6.8693 Å, 72.13 72.13 60.00°
Fractional positions:
Se 0.0000 0.0000 0.0000
Sm 0.2528 0.2528 0.2417
Sm 0.7472 0.7472 0.7583
Cl 0.5000 0.5000 0.5000

Relative to the most stable one, in meV/atom, the structures come out at w) 20; x) 0.

w) SnSe2Cl: relaxed, PBE.

The calculation puts the density of states at the Fermi level at 4.21 states/eV per cell. As for the space-group type: I-42d (122). The calculation puts the volume at 30.1 Å³/atom.

Cell: 7.3516 7.3516 6.8471 Å, 57.53 57.53 90.00°
Last column: magnetic moment on the atom in μB.
Fractional positions:
Sn 0.0000 0.0000 0.0000  -0.01
Sn 0.7500 0.2500 0.5000  -0.01
Se 0.6694 0.1250 0.2500  0.20
Se 0.0806 0.6250 0.2500  0.19
Se 0.3750 0.3306 0.7500  0.18
Se 0.8750 0.9194 0.7500  0.17
Cl 0.5000 0.5000 0.0000  0.31
Cl 0.2500 0.7500 0.5000  0.32

x) SnSe2Cl: relaxed, PBE.

The calculation puts the density of states at the Fermi level at 2.97 states/eV per cell. As for the space-group type: R-3m (166). The calculation puts the volume at 23.5 Å³/atom.

Cell: 11.5495 11.5495 11.5495 Å, 15.34 15.34 15.34°
Fractional positions:
Sn 0.0000 0.0000 0.0000
Se 0.9206 0.9206 0.9206
Se 0.0794 0.0794 0.0794
Cl 0.5000 0.5000 0.5000

Relative to the most stable one, in meV/atom, the structures come out at w) 0; x) 356.

w) SnSe2Cl: relaxed, PBE.

The calculation puts the density of states at the Fermi level at 5.50 states/eV per cell. As for the space-group type: Fm-3m (225). The calculation puts the volume at 21.9 Å³/atom.

Cell: 4.9818 4.9818 4.9818 Å, 60.00 60.00 60.00°
Fractional positions:
Sn 0.5000 0.5000 0.5000
Se 0.2500 0.2500 0.2500
Se 0.7500 0.7500 0.7500
Cl 0.0000 0.0000 0.0000

x) SnSe2Cl: relaxed, PBE.

The calculation puts the density of states at the Fermi level at 1.81 states/eV per cell. As for the space-group type: R-3m (166). The calculation puts the volume at 29.2 Å³/atom.

Cell: 8.6071 8.6071 8.6071 Å, 27.13 27.13 27.13°
Fractional positions:
Sn 0.5000 0.5000 0.5000
Se 0.8983 0.8983 0.8983
Se 0.1017 0.1017 0.1017
Cl 0.0000 0.0000 0.0000

Relative to the most stable one, in meV/atom, the structures come out at w) 373; x) 0.